(1)
The following is a DFT calculation (PBE) of crystalline Cs3CoIr at its relaxed geometry.

Computed properties:
**Energy relative to the elements**: 1.450 eV per atom

Unit cell a=5.775 b=5.775 c=5.775 alpha=90.00 beta=90.00 gamma=90.00
Space group Pm-3m (No. 221)
One atom of each set of equivalent atoms:
Cs  0.000  0.000  0.500
Co  0.000  0.000  0.000
Ir  0.500  0.500  0.500

(2)
The following is a DFT calculation (PBE) of crystalline CsCo2Ir at its relaxed geometry.

Computed properties:
**Energy relative to the elements**: 1.552 eV per atom

Unit cell a=6.555 b=6.555 c=6.555 alpha=90.00 beta=90.00 gamma=90.00
Space group Fm-3m (No. 225)
One atom of each set of equivalent atoms:
Cs  0.000  0.000  0.000
Co  0.250  0.250  0.250
Ir  0.000  0.000  0.500

(3)
The following is a DFT calculation (PBE) of crystalline CsCo2Ir2 at its relaxed geometry.

Computed properties:
**Energy relative to the elements**: 0.706 eV per atom

Unit cell a=4.328 b=4.328 c=13.069 alpha=90.00 beta=90.00 gamma=90.00
Space group I4/mmm (No. 139)
One atom of each set of equivalent atoms:
Cs  0.000  0.000  0.000
Co  0.000  0.000  0.319
Ir  0.000  0.500  0.250

(4)
The following is a DFT calculation (PBE) of crystalline CsCoIr2 at its relaxed geometry.

Computed properties:
**Energy relative to the elements**: 1.759 eV per atom

Unit cell a=6.668 b=6.668 c=6.668 alpha=90.00 beta=90.00 gamma=90.00
Space group Fm-3m (No. 225)
One atom of each set of equivalent atoms:
Cs  0.000  0.000  0.000
Co  0.000  0.000  0.500
Ir  0.250  0.250  0.250

(5)
The following is a DFT calculation (PBE) of crystalline CsCoIrN2 at its relaxed geometry.

Computed properties:
**ΔE_f (raw)**: 2009 meV per atom

Unit cell a=3.708 b=3.708 c=6.714 alpha=90.00 beta=90.00 gamma=90.00
Space group P4/mmm (No. 123)
One atom of each set of equivalent atoms:
Cs  0.000  0.000  0.000
Co  0.000  0.000  0.500
Ir  0.500  0.500  0.000
N  0.000  0.500  0.500

(6)
The following is a DFT calculation (PBE) of crystalline Cs2NaCoIr at its relaxed geometry.

Computed properties:
**Energy relative to the elements**: 1.579 eV per atom

Unit cell a=6.728 b=6.728 c=5.114 alpha=90.00 beta=90.00 gamma=90.00
Space group P4/mmm (No. 123)
One atom of each set of equivalent atoms:
Cs  0.000  0.500  0.000
Na  0.000  0.000  0.000
Co  0.000  0.000  0.500
Ir  0.500  0.500  0.500

Number 1: total magnetic moment 1.3 Bohr magnetons per cell. Number 2: total magnetic moment 16.0 Bohr magnetons per cell. Number 3: total magnetic moment 5.7 Bohr magnetons per cell. Number 4: total magnetic moment 14.9 Bohr magnetons per cell. Number 5: total magnetic moment 0.0 Bohr magnetons per cell. Number 6: total magnetic moment 3.4 Bohr magnetons per cell.